Be3ReTc | Alexandria via LeMat-Bulk | PBE | optimized geometry; distance to the lowest polymorph of the same formula = 15.5 meV per atom; crystal system = cubic; total magnetic moment = 2.22 μB/f.u.; formation enthalpy at 0 K = 6.125 eV per formula unit
1.0
4.118 0.000 0.000
0.000 4.118 0.000
0.000 0.000 4.118
Be Tc Re
3 1 1
Cartesian
2.059 0.000 0.000
0.000 2.059 0.000
0.000 0.000 2.059
2.059 2.059 2.059
0.000 0.000 0.000